# LiCa6Cd3

A relaxed LiCa6Cd3 crystal (PBE, Alexandria via LeMat-Bulk).

a = 5.5887 Å, b = 9.7700 Å, c = 11.8741 Å
α = 105.26°, β = 90.00°, γ = 90.00°
Element x y z (fractional)
Ca  0.2500  0.2585  0.5117
Ca  0.2500  0.0829  0.8897
Ca  0.7500  0.1737  0.7028
Ca  0.2500  0.4698  0.0924
Ca  0.7500  0.5302  0.9076
Ca  0.7500  0.8488  0.8077
Ca  0.7500  0.3698  0.3156
Ca  0.2500  0.8263  0.2972
Ca  0.2500  0.1512  0.1923
Ca  0.7500  0.9171  0.1103
Ca  0.2500  0.6302  0.6844
Ca  0.7500  0.7415  0.4883
Cd  0.7500  0.6375  0.2020
Cd  0.2500  0.3625  0.7980
Cd  0.7500  0.4616  0.6082
Cd  0.2500  0.7727  0.9788
Cd  0.7500  0.2273  0.0212
Cd  0.2500  0.5384  0.3918
Li  0.7500  0.0552  0.4013
Li  0.2500  0.9448  0.5987

Values from the calculation:
Spin magnetization: 0.00 μB/f.u.
DOS(E_F): 0.9634 states/eV/atom
Energy of formation: -0.1900 eV/atom
Uncorrected energy: -1.857 eV/atom